1.
## Li2TcWF (PBEsol)

Data for a relaxed Li2TcWF crystal.

Properties
The value obtained for the raw total energy is -6.491 eV per atom. The total magnetic moment is 0.00 μB per cell. Its density of states at the Fermi level is 2.950 states/eV per cell. The calculation puts the energy relative to the elements, uncorrected at -0.304 eV/atom.

Structure (POSCAR):
```
Li2TcWF
1.0
3.548 0.000 0.000
0.000 3.548 0.000
0.000 0.000 5.226
Li Tc W F
2 1 1 1
Cartesian
0.000 1.774 0.000 Li
1.774 0.000 0.000 Li
0.000 0.000 2.613 Tc
1.774 1.774 2.613 W
0.000 0.000 0.000 F
```


2.
## LiTeF2 (PBEsol)

Data for a relaxed LiTeF2 crystal.

Properties
The value obtained for the raw total energy is -3.829 eV per atom. The total magnetic moment is 0.00 μB per cell. Its density of states at the Fermi level is 1.446 states/eV per cell. The calculation puts the energy relative to the elements, uncorrected at -1.492 eV/atom.

Structure (POSCAR):
```
LiTeF2
1.0
3.165 0.000 0.000
1.583 2.741 0.000
1.583 0.914 7.475
F Te Li
2 1 1
Cartesian
4.748 2.741 1.687 F
1.583 0.914 5.788 F
3.165 1.827 3.738 Te
0.000 0.000 0.000 Li
```


- The lowest raw total energy belongs to which entry?
  Li2TcWF